(1)
A relaxed La3Tm2In crystal, computed with PBE.

Unit cell a=7.0790 b=9.4485 c=6.8024 alpha=95.28 beta=104.95 gamma=114.75
Last column: nearest neighbours and their distance in Å.
Atoms (fractional coordinates):
1 La 0.2651 0.0063 0.7576  4 In 3.42-3.61, 3 La 3.46-3.77, 4 Tm 3.50-3.77
2 La 0.7349 0.9937 0.2424  4 In 3.42-3.61, 3 La 3.46-3.77, 4 Tm 3.50-3.77
3 La 0.7053 0.6628 0.8814  4 Tm 3.42-3.68, 2 In 3.49-3.56, 4 La 3.52-3.69
4 La 0.1588 0.3419 0.5847  5 Tm 3.39-3.77, 5 La 3.46-3.77, 1 In 3.52
5 La 0.8412 0.6581 0.4153  5 Tm 3.39-3.77, 5 La 3.46-3.77, 1 In 3.52
6 La 0.2947 0.3372 0.1186  4 Tm 3.42-3.68, 2 In 3.49-3.56, 4 La 3.52-3.69
7 Tm 0.3584 0.7195 0.4546  2 In 3.22-3.30, 4 La 3.39-3.58, 1 Tm 3.46
8 Tm 0.1876 0.6493 0.9145  7 La 3.40-3.77, 1 In 3.41, 3 Tm 3.46-3.65
9 Tm 0.8124 0.3507 0.0855  7 La 3.40-3.77, 1 In 3.41, 3 Tm 3.46-3.65
10 Tm 0.6416 0.2805 0.5454  2 In 3.22-3.30, 4 La 3.39-3.58, 1 Tm 3.46
11 In 0.2053 0.9583 0.2334  3 Tm 3.22-3.41, 6 La 3.42-3.56
12 In 0.7947 0.0417 0.7666  3 Tm 3.22-3.41, 6 La 3.42-3.56

Calculated values
The value obtained for the spin magnetization is 0.000 μB/f.u. The formation enthalpy at 0 K is -153 meV per atom. The density of states at the Fermi level comes out at 14.251 states/eV per cell. The calculated total energy is -4.563 eV/atom.



(2)
A relaxed La9TmIn2 crystal, computed with PBE.

Unit cell a=5.0931 b=5.0931 c=15.4441 alpha=90.00 beta=90.00 gamma=90.00
Last column: nearest neighbours and their distance in Å.
Atoms (fractional coordinates):
1 La 0.5000 0.5000 0.0000  4 Tm 3.60, 8 La 3.67
2 La 0.5000 0.5000 0.3354  8 La 3.59-3.60, 4 In 3.60
3 La 0.5000 0.5000 0.6646  8 La 3.59-3.60, 4 In 3.60
4 La 0.5000 0.0000 0.1712  8 La 3.59-3.67, 2 In 3.61, 2 Tm 3.67
5 La 0.5000 0.0000 0.5000  4 In 3.58, 8 La 3.60
6 La 0.5000 0.0000 0.8288  8 La 3.59-3.67, 2 In 3.61, 2 Tm 3.67
7 La 0.0000 0.5000 0.1712  8 La 3.59-3.67, 2 In 3.61, 2 Tm 3.67
8 La 0.0000 0.5000 0.5000  4 In 3.58, 8 La 3.60
9 La 0.0000 0.5000 0.8288  8 La 3.59-3.67, 2 In 3.61, 2 Tm 3.67
10 Tm 0.0000 0.0000 0.0000  12 La 3.60-3.67
11 In 0.0000 0.0000 0.3368  12 La 3.58-3.61
12 In 0.0000 0.0000 0.6632  12 La 3.58-3.61

Calculated values
The value obtained for the spin magnetization is 0.000 μB/f.u. The formation enthalpy at 0 K is -188 meV per atom. The density of states at the Fermi level comes out at 16.618 states/eV per cell. The calculated total energy is -4.713 eV/atom.



(3)
A relaxed La2TmIn crystal, computed with PBE.

Unit cell a=4.8871 b=4.9521 c=6.1759 alpha=113.64 beta=113.31 gamma=90.00
Last column: nearest neighbours and their distance in Å.
Atoms (fractional coordinates):
1 La 0.0025 0.0025 0.0050  4 In 3.48, 4 La 3.51-3.58, 4 Tm 3.54-3.55
2 La 0.2456 0.7456 0.4913  4 Tm 3.48, 4 La 3.51-3.58, 4 In 3.52-3.56
3 Tm 0.7550 0.2550 0.5100  4 In 3.47-3.62, 8 La 3.48-3.55
4 In 0.4969 0.4969 0.9938  4 Tm 3.47-3.62, 8 La 3.48-3.56

Calculated values
The value obtained for the spin magnetization is 0.006 μB/f.u. The formation enthalpy at 0 K is -233 meV per atom. The density of states at the Fermi level comes out at 6.250 states/eV per cell. The calculated total energy is -4.499 eV/atom. For the relative energy among the computed polymorphs, the calculation gives 0.14 eV per formula unit.



(4)
A relaxed La6TmIn crystal, computed with PBE.

Unit cell a=5.1176 b=5.1176 c=10.3460 alpha=90.00 beta=90.00 gamma=90.00
Last column: nearest neighbours and their distance in Å.
Atoms (fractional coordinates):
1 La 0.5000 0.5000 0.0000  8 La 3.61, 4 In 3.62
2 La 0.5000 0.5000 0.5000  4 Tm 3.62, 8 La 3.67
3 La 0.5000 0.0000 0.2456  2 In 3.61, 8 La 3.61-3.67, 2 Tm 3.67
4 La 0.5000 0.0000 0.7544  8 La 3.61-3.67, 2 In 3.61, 2 Tm 3.67
5 La 0.0000 0.5000 0.2456  2 In 3.61, 8 La 3.61-3.67, 2 Tm 3.67
6 La 0.0000 0.5000 0.7544  8 La 3.61-3.67, 2 In 3.61, 2 Tm 3.67
7 Tm 0.0000 0.0000 0.5000  12 La 3.62-3.67
8 In 0.0000 0.0000 0.0000  12 La 3.61-3.62

Calculated values
The value obtained for the spin magnetization is 0.000 μB/f.u. The formation enthalpy at 0 K is -132 meV per atom. The density of states at the Fermi level comes out at 10.766 states/eV per cell. The calculated total energy is -4.729 eV/atom.



(5)
A relaxed LaTm2In4 crystal, computed with PBE.

Unit cell a=5.2051 b=5.2051 c=7.6412 alpha=90.00 beta=90.00 gamma=90.00
Last column: nearest neighbours and their distance in Å.
Atoms (fractional coordinates):
1 Tm 0.0000 0.0000 0.0000  8 In 3.37, 4 La 3.68
2 Tm 0.5000 0.5000 0.5000  8 In 3.10
3 In 0.5000 0.0000 0.2796  4 Tm 3.10-3.37, 2 La 3.37, 1 In 3.37
4 In 0.0000 0.5000 0.7204  4 Tm 3.10-3.37, 2 La 3.37, 1 In 3.37
5 In 0.5000 0.0000 0.7204  4 Tm 3.10-3.37, 2 La 3.37, 1 In 3.37
6 In 0.0000 0.5000 0.2796  4 Tm 3.10-3.37, 2 La 3.37, 1 In 3.37
7 La 0.5000 0.5000 0.0000  8 In 3.37, 4 Tm 3.68

Calculated values
The value obtained for the spin magnetization is 0.001 μB/f.u. The formation enthalpy at 0 K is -291 meV per atom. The density of states at the Fermi level comes out at 5.849 states/eV per cell. The calculated total energy is -3.837 eV/atom.



(6)
A relaxed La6TmIn2 crystal, computed with PBE.

Unit cell a=4.7864 b=8.2519 c=8.2363 alpha=109.13 beta=106.89 gamma=90.00
Last column: nearest neighbours and their distance in Å.
Atoms (fractional coordinates):
1 La 0.4028 0.8507 0.8056  3 La 3.21-3.57, 4 In 3.52-3.56
2 La 0.5972 0.1493 0.1944  3 La 3.21-3.57, 4 In 3.52-3.56
3 La 0.7213 0.8406 0.4426  8 La 3.44-3.75, 3 In 3.46-3.67, 1 Tm 3.65
4 La 0.1647 0.4901 0.3294  2 In 3.54-3.59, 2 Tm 3.55, 8 La 3.56-3.91
5 La 0.2787 0.1594 0.5574  8 La 3.44-3.75, 3 In 3.46-3.67, 1 Tm 3.65
6 La 0.8353 0.5099 0.6706  2 In 3.54-3.59, 2 Tm 3.55, 8 La 3.56-3.91
7 Tm 0.5000 0.5000 0.0000  4 In 3.40, 8 La 3.55-3.71
8 In 0.9420 0.1884 0.8839  2 Tm 3.40, 9 La 3.46-3.67
9 In 0.0580 0.8116 0.1161  2 Tm 3.40, 9 La 3.46-3.67

Calculated values
The value obtained for the spin magnetization is 0.000 μB/f.u. The formation enthalpy at 0 K is -210 meV per atom. The density of states at the Fermi level comes out at 10.164 states/eV per cell. The calculated total energy is -4.600 eV/atom. For the relative energy among the computed polymorphs, the calculation gives 0.00 eV per formula unit.



(7)
A relaxed LaTm2In6 crystal, computed with PBE.

Unit cell a=4.6364 b=8.4826 c=8.4826 alpha=53.59 beta=74.14 gamma=74.14
Last column: nearest neighbours and their distance in Å.
Atoms (fractional coordinates):
1 La 0.0000 0.0000 0.0000  4 In 3.32
2 Tm 0.8804 0.6196 0.6196  10 In 3.12-3.44, 1 Tm 3.45
3 Tm 0.1196 0.3804 0.3804  10 In 3.12-3.44, 1 Tm 3.45
4 In 0.6909 0.0054 0.6128  4 In 2.89-3.00, 1 Tm 3.12
5 In 0.3091 0.9946 0.3872  4 In 2.89-3.00, 1 Tm 3.12
6 In 0.3091 0.3872 0.9946  4 In 2.89-3.00, 1 Tm 3.12
7 In 0.5000 0.6883 0.3117  3 In 2.88-2.89
8 In 0.5000 0.3117 0.6883  3 In 2.88-2.89
9 In 0.6909 0.6128 0.0054  4 In 2.89-3.00, 1 Tm 3.12

Calculated values
The value obtained for the spin magnetization is 0.000 μB/f.u. The formation enthalpy at 0 K is -322 meV per atom. The density of states at the Fermi level comes out at 4.353 states/eV per cell. The calculated total energy is -3.689 eV/atom.



(8)
A relaxed La6TmIn2 crystal, computed with PBE.

Unit cell a=5.0930 b=8.3685 c=8.3690 alpha=120.00 beta=90.00 gamma=90.00
Last column: nearest neighbours and their distance in Å.
Atoms (fractional coordinates):
1 La 0.5000 0.5664 0.0000  4 In 3.55, 1 Tm 3.63, 2 La 3.70
2 La 0.5000 0.4337 0.4337  4 In 3.55, 1 Tm 3.63, 2 La 3.70
3 La 0.5000 0.0000 0.5663  4 In 3.55, 1 Tm 3.63, 2 La 3.70
4 La 0.0000 0.2453 0.0000  2 In 3.22, 2 Tm 3.27, 2 La 3.56
5 La 0.0000 0.7547 0.7548  2 In 3.22, 2 Tm 3.27, 2 La 3.55-3.56
6 La 0.0000 0.9999 0.2452  2 In 3.22, 2 Tm 3.27, 2 La 3.55-3.56
7 Tm 0.5000 0.0001 0.0000  9 La 3.27-3.63
8 In 0.0000 0.3333 0.6666  9 La 3.22-3.55
9 In 0.0000 0.6666 0.3334  9 La 3.22-3.55

Calculated values
The value obtained for the spin magnetization is 0.000 μB/f.u. The formation enthalpy at 0 K is -152 meV per atom. The density of states at the Fermi level comes out at 8.879 states/eV per cell. The calculated total energy is -4.542 eV/atom. For the relative energy among the computed polymorphs, the calculation gives 0.52 eV per formula unit.



calculated total energy of number 8 (La6TmIn2)?
-4.542 eV/atom



What did the third record say?
A relaxed La2TmIn crystal, computed with PBE.

Unit cell a=4.8871 b=4.9521 c=6.1759 alpha=113.64 beta=113.31 gamma=90.00
Last column: nearest neighbours and their distance in Å.
Atoms (fractional coordinates):
1 La 0.0025 0.0025 0.0050  4 In 3.48, 4 La 3.51-3.58, 4 Tm 3.54-3.55
2 La 0.2456 0.7456 0.4913  4 Tm 3.48, 4 La 3.51-3.58, 4 In 3.52-3.56
3 Tm 0.7550 0.2550 0.5100  4 In 3.47-3.62, 8 La 3.48-3.55
4 In 0.4969 0.4969 0.9938  4 Tm 3.47-3.62, 8 La 3.48-3.56

Calculated values
The value obtained for the spin magnetization is 0.006 μB/f.u. The formation enthalpy at 0 K is -233 meV per atom. The density of states at the Fermi level comes out at 6.250 states/eV per cell. The calculated total energy is -4.499 eV/atom. For the relative energy among the computed polymorphs, the calculation gives 0.14 eV per formula unit.



spin magnetization of number 4 (La6TmIn)?
0.000 μB/f.u.